(1)
A geometry-optimized Th3Bi5Pt12 structure. Source: Alexandria, functional PBE.

The structure in CIF format:
```
data_Th3Bi5Pt12
_cell_length_a 16.215
_cell_length_b 16.215
_cell_length_c 16.215
_cell_angle_alpha 90.00
_cell_angle_beta 90.00
_cell_angle_gamma 90.00
_symmetry_space_group_name_H-M 'I a -3 d'
_symmetry_Int_Tables_number 230
_symmetry_space_group_name_Hall '-I 4bd 2c 3'
loop_
_atom_site_label
_atom_site_type_symbol
_atom_site_fract_x
_atom_site_fract_y
_atom_site_fract_z
Th1 Th 0.000 0.250 0.125
Bi1 Bi 0.000 0.000 0.000
Bi2 Bi 0.000 0.250 0.375
Pt1 Pt 0.004 0.074 0.652
```

Values from the calculation:
D(E_F)   8.37 states/eV/f.u.
Total energy   -6.09 eV per atom
Formation energy   -381 meV/atom
Calculated volume   26.6 Å³/atom

(2)
A geometry-optimized ThBiPt2 structure. Source: Alexandria, functional PBE.

The structure in CIF format:
```
data_ThBiPt2
_cell_length_a 4.3689
_cell_length_b 4.3689
_cell_length_c 17.7564
_cell_angle_alpha 90.00
_cell_angle_beta 90.00
_cell_angle_gamma 120.00
_symmetry_space_group_name_H-M 'R -3 m'
_symmetry_Int_Tables_number 166
_symmetry_space_group_name_Hall '-R 3 2"'
loop_
_atom_site_label
_atom_site_type_symbol
_atom_site_fract_x
_atom_site_fract_y
_atom_site_fract_z
Th1 Th 0.0000 0.0000 0.0000
Bi1 Bi 0.0000 0.0000 0.5000
Pt1 Pt 0.0000 0.0000 0.2431
```

Values from the calculation:
D(E_F)   2.41 states/eV/f.u.
Total energy   -6.62 eV per atom
Formation energy   -771 meV/atom
Calculated volume   24.5 Å³/atom

(3)
A geometry-optimized Th3Bi2Pt structure. Source: Alexandria, functional PBE.

The structure in CIF format:
```
data_Th3Bi2Pt
_cell_length_a 7.706
_cell_length_b 13.237
_cell_length_c 7.929
_cell_angle_alpha 90.00
_cell_angle_beta 109.10
_cell_angle_gamma 90.00
_symmetry_space_group_name_H-M 'C 1 2/m 1'
_symmetry_Int_Tables_number 12
_symmetry_space_group_name_Hall '-C 2y'
loop_
_atom_site_label
_atom_site_type_symbol
_atom_site_fract_x
_atom_site_fract_y
_atom_site_fract_z
Th1 Th 0.209 0.000 0.214
Th2 Th 0.245 0.181 0.776
Bi1 Bi 0.000 0.000 0.500
Bi2 Bi 0.000 0.348 0.500
Bi3 Bi 0.000 0.500 0.000
Pt1 Pt 0.000 0.169 0.000
```

Values from the calculation:
D(E_F)   5.80 states/eV/f.u.
Total energy   -6.78 eV per atom
Formation energy   -773 meV/atom
Calculated volume   31.8 Å³/atom

(4)
A geometry-optimized Th7Bi2Pt2 structure. Source: Alexandria, functional PBE.

The structure in CIF format:
```
data_Th7Bi2Pt2
_cell_length_a 3.981
_cell_length_b 16.667
_cell_length_c 10.085
_cell_angle_alpha 90.00
_cell_angle_beta 90.00
_cell_angle_gamma 90.00
_symmetry_space_group_name_H-M 'I m m 2'
_symmetry_Int_Tables_number 44
_symmetry_space_group_name_Hall 'I 2 -2'
loop_
_atom_site_label
_atom_site_type_symbol
_atom_site_fract_x
_atom_site_fract_y
_atom_site_fract_z
Th1 Th 0.000 0.000 0.000
Th2 Th 0.000 0.133 0.426
Th3 Th 0.000 0.320 0.632
Th4 Th 0.000 0.348 0.257
Bi1 Bi 0.000 0.000 0.673
Bi2 Bi 0.000 0.500 0.773
Pt1 Pt 0.000 0.235 0.936
```

Values from the calculation:
D(E_F)   11.64 states/eV/f.u.
Total energy   -7.14 eV per atom
Formation energy   -617 meV/atom
Calculated volume   30.4 Å³/atom
Energy above the most stable polymorph in this dataset   0.000 eV/atom

(5)
A geometry-optimized Th7Bi2Pt2 structure. Source: Alexandria, functional PBE.

The structure in CIF format:
```
data_Th7Bi2Pt2
_cell_length_a 9.096
_cell_length_b 11.132
_cell_length_c 7.035
_cell_angle_alpha 90.00
_cell_angle_beta 90.00
_cell_angle_gamma 90.00
_symmetry_space_group_name_H-M 'C m m m'
_symmetry_Int_Tables_number 65
_symmetry_space_group_name_Hall '-C 2 2'
loop_
_atom_site_label
_atom_site_type_symbol
_atom_site_fract_x
_atom_site_fract_y
_atom_site_fract_z
Th1 Th 0.000 0.000 0.000
Th2 Th 0.000 0.500 0.248
Th3 Th 0.250 0.250 0.260
Bi1 Bi 0.180 0.000 0.500
Pt1 Pt 0.000 0.260 0.000
```

Values from the calculation:
D(E_F)   17.03 states/eV/f.u.
Total energy   -6.86 eV per atom
Formation energy   -337 meV/atom
Calculated volume   32.4 Å³/atom
Energy above the most stable polymorph in this dataset   0.280 eV/atom

(6)
A geometry-optimized TiBi3Pt structure. Source: Alexandria, functional PBE.

The structure in CIF format:
```
data_TiBi3Pt
_cell_length_a 5.384
_cell_length_b 5.384
_cell_length_c 5.384
_cell_angle_alpha 90.00
_cell_angle_beta 90.00
_cell_angle_gamma 90.00
_symmetry_space_group_name_H-M 'P m -3 m'
_symmetry_Int_Tables_number 221
_symmetry_space_group_name_Hall '-P 4 2 3'
loop_
_atom_site_label
_atom_site_type_symbol
_atom_site_fract_x
_atom_site_fract_y
_atom_site_fract_z
Ti1 Ti 0.000 0.000 0.000
Bi1 Bi 0.000 0.500 0.500
Pt1 Pt 0.500 0.500 0.500
```

Values from the calculation:
D(E_F)   6.86 states/eV/f.u.
Total energy   -4.44 eV per atom
Formation energy   679 meV/atom
Calculated volume   31.2 Å³/atom
Energy above the most stable polymorph in this dataset   0.094 eV/atom

(7)
A geometry-optimized Ti2BiPt structure. Source: Alexandria, functional PBE.

The structure in CIF format:
```
data_Ti2BiPt
_cell_length_a 7.430
_cell_length_b 7.430
_cell_length_c 5.895
_cell_angle_alpha 90.00
_cell_angle_beta 90.00
_cell_angle_gamma 90.00
_symmetry_space_group_name_H-M 'I -4 2 d'
_symmetry_Int_Tables_number 122
_symmetry_space_group_name_Hall 'I -4 2bw'
loop_
_atom_site_label
_atom_site_type_symbol
_atom_site_fract_x
_atom_site_fract_y
_atom_site_fract_z
Ti1 Ti 0.212 0.250 0.125
Bi1 Bi 0.000 0.000 0.500
Pt1 Pt 0.000 0.000 0.000
```

Values from the calculation:
D(E_F)   3.87 states/eV/f.u.
Total energy   -6.63 eV per atom
Formation energy   -197 meV/atom
Calculated volume   20.3 Å³/atom

(8)
A geometry-optimized TiBiPt2 structure. Source: Alexandria, functional PBE.

The structure in CIF format:
```
data_TiBiPt2
_cell_length_a 3.303
_cell_length_b 3.303
_cell_length_c 7.011
_cell_angle_alpha 90.00
_cell_angle_beta 90.00
_cell_angle_gamma 90.00
_symmetry_space_group_name_H-M 'P 4/m m m'
_symmetry_Int_Tables_number 123
_symmetry_space_group_name_Hall '-P 4 2'
loop_
_atom_site_label
_atom_site_type_symbol
_atom_site_fract_x
_atom_site_fract_y
_atom_site_fract_z
Ti1 Ti 0.000 0.000 0.000
Bi1 Bi 0.000 0.000 0.500
Pt1 Pt 0.500 0.500 0.197
```

Values from the calculation:
D(E_F)   2.36 states/eV/f.u.
Total energy   -6.54 eV per atom
Formation energy   -573 meV/atom
Calculated volume   19.1 Å³/atom

(9)
A geometry-optimized Ti2BiPt2 structure. Source: Alexandria, functional PBE.

The structure in CIF format:
```
data_Ti2BiPt2
_cell_length_a 7.806
_cell_length_b 7.806
_cell_length_c 3.020
_cell_angle_alpha 90.00
_cell_angle_beta 90.00
_cell_angle_gamma 90.00
_symmetry_space_group_name_H-M 'P 4/m b m'
_symmetry_Int_Tables_number 127
_symmetry_space_group_name_Hall '-P 4 2ab'
loop_
_atom_site_label
_atom_site_type_symbol
_atom_site_fract_x
_atom_site_fract_y
_atom_site_fract_z
Ti1 Ti 0.158 0.342 0.000
Bi1 Bi 0.000 0.000 0.500
Pt1 Pt 0.131 0.631 0.500
```

Values from the calculation:
D(E_F)   5.13 states/eV/f.u.
Total energy   -6.95 eV per atom
Formation energy   -603 meV/atom
Calculated volume   18.4 Å³/atom
Energy above the most stable polymorph in this dataset   0.000 eV/atom

(10)
A geometry-optimized Ti3BiPt structure. Source: Alexandria, functional PBE.

The structure in CIF format:
```
data_Ti3BiPt
_cell_length_a 5.009
_cell_length_b 5.009
_cell_length_c 5.009
_cell_angle_alpha 90.00
_cell_angle_beta 90.00
_cell_angle_gamma 90.00
_symmetry_space_group_name_H-M 'P m -3 m'
_symmetry_Int_Tables_number 221
_symmetry_space_group_name_Hall '-P 4 2 3'
loop_
_atom_site_label
_atom_site_type_symbol
_atom_site_fract_x
_atom_site_fract_y
_atom_site_fract_z
Ti1 Ti 0.000 0.000 0.500
Bi1 Bi 0.000 0.000 0.000
Pt1 Pt 0.500 0.500 0.500
```

Values from the calculation:
D(E_F)   10.24 states/eV/f.u.
Total energy   -5.45 eV per atom
Formation energy   1270 meV/atom
Calculated volume   25.1 Å³/atom
Energy above the most stable polymorph in this dataset   1.203 eV/atom

(11)
A geometry-optimized Ti3BiPt structure. Source: Alexandria, functional PBE.

The structure in CIF format:
```
data_Ti3BiPt
_cell_length_a 4.848
_cell_length_b 4.848
_cell_length_c 4.848
_cell_angle_alpha 90.00
_cell_angle_beta 90.00
_cell_angle_gamma 90.00
_symmetry_space_group_name_H-M 'P m -3 m'
_symmetry_Int_Tables_number 221
_symmetry_space_group_name_Hall '-P 4 2 3'
loop_
_atom_site_label
_atom_site_type_symbol
_atom_site_fract_x
_atom_site_fract_y
_atom_site_fract_z
Ti1 Ti 0.000 0.000 0.500
Bi1 Bi 0.500 0.500 0.500
Pt1 Pt 0.000 0.000 0.000
```

Values from the calculation:
D(E_F)   8.15 states/eV/f.u.
Total energy   -6.65 eV per atom
Formation energy   67 meV/atom
Calculated volume   22.8 Å³/atom
Energy above the most stable polymorph in this dataset   0.000 eV/atom

(12)
A geometry-optimized TiBiPt2 structure. Source: Alexandria, functional PBE.

The structure in CIF format:
```
data_TiBiPt2
_cell_length_a 7.474
_cell_length_b 7.474
_cell_length_c 5.678
_cell_angle_alpha 90.00
_cell_angle_beta 90.00
_cell_angle_gamma 90.00
_symmetry_space_group_name_H-M 'I -4 2 d'
_symmetry_Int_Tables_number 122
_symmetry_space_group_name_Hall 'I -4 2bw'
loop_
_atom_site_label
_atom_site_type_symbol
_atom_site_fract_x
_atom_site_fract_y
_atom_site_fract_z
Ti1 Ti 0.000 0.000 0.000
Bi1 Bi 0.000 0.000 0.500
Pt1 Pt 0.220 0.250 0.125
```

Values from the calculation:
D(E_F)   4.38 states/eV/f.u.
Total energy   -6.23 eV per atom
Formation energy   -269 meV/atom
Calculated volume   19.8 Å³/atom

| no. | magnetic moment (μB per atom) |
| --- | --- |
| 1 | 0.000 |
| 2 | 0.000 |
| 3 | 0.000 |
| 4 | 0.000 |
| 5 | 0.000 |
| 6 | 0.018 |
| 7 | 0.000 |
| 8 | 0.000 |
| 9 | 0.000 |
| 10 | 0.000 |
| 11 | 0.002 |
| 12 | 0.000 |